[1]
A plane-wave DFT calculation with PBE was carried out for a relaxed La2TbPr4Ho crystal.

Properties
energy of formation from the pure elements = 0.0206 eV per atom
total moment = 0.000 μB/atom

```
La2TbPr4Ho
1.0
5.2104 0.0000 0.0000
0.0000 5.0741 1.0535
0.0001 2.9727 11.2853
La Tb Pr Ho
2 1 4 1
Direct
0.0000 0.0000 0.0000
0.5000 0.0000 0.5000
0.5000 0.5000 0.0000
0.0000 0.7515 0.7492
0.0000 0.2485 0.2508
0.5000 0.7499 0.2501
0.5000 0.2501 0.7499
0.0000 0.5000 0.5000
```



[2]
A plane-wave DFT calculation with PBE was carried out for a relaxed La2Tb5PrHo crystal.

Properties
energy of formation from the pure elements = 0.2526 eV per atom
total moment = 0.000 μB/atom

```
La2Tb5PrHo
1.0
8.7303 0.0000 0.0000
0.0000 8.7303 0.0000
-4.3652 -4.3652 7.9477
La Tb Pr Ho
4 10 2 2
Direct
0.1177 0.3823 0.0000
0.6177 0.1177 0.0000
0.3823 0.8823 0.0000
0.8823 0.6177 0.0000
0.9252 0.4252 0.2815
0.6437 0.1437 0.7185
0.0748 0.5748 0.7185
0.1437 0.0748 0.7185
0.5748 0.6437 0.7185
0.8563 0.9252 0.2815
0.4252 0.3563 0.2815
0.3563 0.8563 0.2815
0.5000 0.5000 0.0000
0.0000 0.0000 0.0000
0.2500 0.2500 0.5000
0.7500 0.7500 0.5000
0.2500 0.7500 0.5000
0.7500 0.2500 0.5000
```



[3]
A plane-wave DFT calculation with PBE was carried out for a relaxed La3Tb2PrHo6 crystal.

Properties
energy of formation from the pure elements = 0.0180 eV per atom
total moment = 0.000 μB/atom

```
La3Tb2PrHo6
1.0
-6.0183 1.6482 -0.4041
2.6024 -3.4660 -4.5072
-1.9043 -9.1001 7.3417
La Tb Pr Ho
3 2 1 6
Direct
0.1668 0.8332 0.5000
0.8332 0.1668 0.5000
0.5000 0.5000 0.5000
0.3332 0.6668 0.0000
0.6668 0.3332 0.0000
0.0000 0.0000 0.0000
0.9181 0.5840 0.7536
0.7479 0.7479 0.2465
0.0819 0.4160 0.2464
0.5840 0.9181 0.7536
0.2521 0.2521 0.7535
0.4160 0.0819 0.2464
```



[4]
A plane-wave DFT calculation with PBE was carried out for a relaxed La6Tb2PrHo crystal.

Properties
energy of formation from the pure elements = 0.1858 eV per atom
total moment = 0.000 μB/atom

```
La6Tb2PrHo
1.0
8.9414 0.0000 1.2553
0.0000 7.2203 0.0000
-2.1761 -3.6102 5.2715
La Tb Pr Ho
6 2 1 1
Direct
0.4311 0.6336 0.2672
0.2025 0.0431 0.6394
0.7975 0.4036 0.3606
0.2025 0.5964 0.6394
0.7975 0.9569 0.3606
0.5689 0.3664 0.7328
0.1671 0.0887 0.1773
0.8329 0.9113 0.8227
0.0000 0.5000 0.0000
0.5000 0.0000 0.0000
```



[5]
A plane-wave DFT calculation with PBE was carried out for a relaxed LaTb2Pr5Ho crystal.

Properties
energy of formation from the pure elements = 0.2783 eV per atom
total moment = 0.000 μB/atom

```
LaTb2Pr5Ho
1.0
-9.4415 -0.7004 0.8061
0.4546 -9.1262 -2.6052
5.2205 2.9945 7.7482
La Tb Pr Ho
2 4 10 2
Direct
0.2500 0.2500 0.5000
0.7500 0.7500 0.5000
0.1087 0.3913 0.0000
0.6087 0.1087 0.0000
0.3913 0.8913 0.0000
0.8913 0.6087 0.0000
0.9293 0.4293 0.2639
0.6653 0.1653 0.7361
0.0707 0.5707 0.7361
0.1653 0.0707 0.7361
0.5707 0.6653 0.7361
0.8347 0.9293 0.2639
0.4293 0.3347 0.2639
0.3347 0.8347 0.2639
0.5000 0.5000 0.0000
0.0000 0.0000 0.0000
0.2500 0.7500 0.5000
0.7500 0.2500 0.5000
```



[6]
A plane-wave DFT calculation with PBE was carried out for a relaxed La3TbPr6Ho2 crystal.

Properties
energy of formation from the pure elements = 0.0181 eV per atom
total moment = 0.000 μB/atom

```
La3TbPr6Ho2
1.0
-1.5356 5.8230 2.1275
1.4343 -4.6437 4.1437
11.5616 2.7970 -2.5107
La Tb Pr Ho
3 1 6 2
Direct
0.1669 0.8331 0.5000
0.8331 0.1669 0.5000
0.5000 0.5000 0.5000
0.0000 0.0000 0.0000
0.9186 0.5849 0.7564
0.7478 0.7478 0.2437
0.0814 0.4151 0.2436
0.5849 0.9186 0.7564
0.2522 0.2522 0.7563
0.4151 0.0814 0.2436
0.3334 0.6666 0.0000
0.6666 0.3334 0.0000
```



[7]
A plane-wave DFT calculation with PBE was carried out for a relaxed La2TbPr4Ho2 crystal.

Properties
energy of formation from the pure elements = 0.0248 eV per atom
total moment = 0.000 μB/atom

```
La2TbPr4Ho2
1.0
-3.9207 1.2840 3.1750
-0.0939 -8.1544 -1.0863
5.3456 1.6477 5.9348
La Tb Pr Ho
2 1 4 2
Direct
0.8888 0.7775 0.3288
0.1112 0.2225 0.6712
0.0000 0.0000 0.0000
0.7794 0.5588 0.6715
0.2206 0.4412 0.3285
0.5553 0.1107 0.3298
0.4447 0.8893 0.6702
0.3331 0.6662 0.9997
0.6669 0.3338 0.0003
```



[8]
A plane-wave DFT calculation with PBE was carried out for a relaxed LaTb2Pr2Ho2 crystal.

Properties
energy of formation from the pure elements = 0.1214 eV per atom
total moment = 0.000 μB/atom

```
LaTb2Pr2Ho2
1.0
-0.5193 -5.9888 -0.4491
-0.4056 2.6973 4.9554
-8.8047 0.4549 4.1152
La Tb Pr Ho
1 2 2 2
Direct
0.0000 0.0000 0.5000
0.5716 0.1433 0.6439
0.4284 0.8567 0.3561
0.7164 0.4329 0.9314
0.2836 0.5671 0.0686
0.8527 0.7055 0.2175
0.1473 0.2945 0.7825
```



[9]
A plane-wave DFT calculation with PBE was carried out for a relaxed La2Tb3PrHo6 crystal.

Properties
energy of formation from the pure elements = 0.0202 eV per atom
total moment = 0.000 μB/atom

```
La2Tb3PrHo6
1.0
-3.2197 -2.8741 4.4850
1.5649 -3.0872 -5.1732
10.5134 -1.3618 5.2384
La Tb Pr Ho
2 3 1 6
Direct
0.3333 0.6667 0.0000
0.6667 0.3333 0.0000
0.1665 0.8335 0.5000
0.8335 0.1665 0.5000
0.5000 0.5000 0.5000
0.0000 0.0000 0.0000
0.9145 0.5815 0.7451
0.7525 0.7525 0.2548
0.0855 0.4185 0.2549
0.5815 0.9145 0.7451
0.2475 0.2475 0.7452
0.4185 0.0855 0.2549
```



[10]
A plane-wave DFT calculation with PBE was carried out for a relaxed LaPr2Ho3Te6 crystal.

Properties
total moment = 0.000 μB/atom
energy relative to the elements, uncorrected = -1.38 eV per atom

```
LaPr2Ho3Te6
1.0
-3.5567 -0.2607 2.5548
4.6217 -4.9661 5.9275
3.1088 9.3878 1.5193
La Pr Ho Te
1 2 3 6
Direct
0.5000 0.0000 0.0000
0.8316 0.6631 0.6632
0.1684 0.3369 0.3368
0.5000 0.5000 0.0000
0.8332 0.1664 0.6664
0.1668 0.8336 0.3336
0.3291 0.9245 0.6582
0.6624 0.5936 0.3248
0.6709 0.0755 0.3418
0.9970 0.2609 0.9941
0.0030 0.7391 0.0059
0.3376 0.4064 0.6752
```



[11]
A plane-wave DFT calculation with PBE was carried out for a relaxed LaPr3Ho2Te6 crystal.

Properties
total moment = 0.000 μB/atom
energy relative to the elements, uncorrected = -1.40 eV per atom

```
LaPr3Ho2Te6
1.0
7.7280 -0.0185 -0.0037
-3.8782 6.6845 -0.0037
-1.2877 -2.2297 7.3788
La Pr Ho Te
1 3 2 6
Direct
0.0000 0.0000 0.0000
0.1569 0.8431 0.5000
0.8431 0.1569 0.5000
0.5000 0.5000 0.5000
0.3324 0.6676 0.0000
0.6676 0.3324 0.0000
0.9192 0.5729 0.7569
0.7311 0.7311 0.2331
0.0808 0.4271 0.2431
0.5729 0.9192 0.7569
0.2689 0.2689 0.7669
0.4271 0.0808 0.2431
```



[12]
A plane-wave DFT calculation with PBE was carried out for a relaxed LaPr4Ho3Te8 crystal.

Properties
total moment = 0.000 μB/atom
energy relative to the elements, uncorrected = -1.38 eV per atom

```
LaPr4Ho3Te8
1.0
8.8496 0.0000 0.0000
0.0000 9.0247 0.1173
-4.4248 -4.4206 6.2608
La Pr Ho Te
1 4 3 8
Direct
0.0000 0.5000 0.0000
0.5000 0.0000 0.0000
0.5000 0.0000 0.5000
0.0000 0.0000 0.0000
0.0000 0.0000 0.5000
0.5000 0.5000 0.0000
0.5000 0.5000 0.5000
0.0000 0.5000 0.5000
0.2507 0.7390 0.9884
0.2507 0.7391 0.5013
0.2556 0.2669 0.5113
0.7377 0.7390 0.9884
0.2623 0.2610 0.0116
0.7444 0.7331 0.4887
0.7493 0.2609 0.4987
0.7493 0.2610 0.0116
```



[13]
A plane-wave DFT calculation with PBE was carried out for a relaxed LaPr3Ho3Te8 crystal.

Properties
total moment = 0.000 μB/atom
energy relative to the elements, uncorrected = -1.43 eV per atom

```
LaPr3Ho3Te8
1.0
8.8447 0.0000 0.0000
-4.4223 7.6597 -0.0268
0.0000 -5.0812 7.2701
La Pr Ho Te
1 3 3 8
Direct
0.0000 0.0000 0.5000
0.0000 0.0000 0.0000
0.0000 0.5000 0.0000
0.5000 0.5000 0.0000
0.5000 0.0000 0.5000
0.5000 0.5000 0.5000
0.0000 0.5000 0.5000
0.2551 0.5102 0.2652
0.7449 0.4898 0.7348
0.7395 0.4790 0.2499
0.2605 0.5210 0.7501
0.7395 0.0104 0.2499
0.2605 0.9896 0.7501
0.2709 0.0104 0.2499
0.7291 0.9896 0.7501
```



[14]
A plane-wave DFT calculation with PBE was carried out for a relaxed LaPr2Ho4Th crystal.

Properties
energy of formation from the pure elements = 0.0319 eV per atom
total moment = 0.000 μB/atom

```
LaPr2Ho4Th
1.0
-0.4530 -4.9568 -1.3587
4.3912 0.3326 -2.6778
9.5324 -2.3615 5.4364
La Pr Ho Th
1 2 4 1
Direct
0.5000 0.5000 0.0000
0.0000 0.0000 0.0000
0.5000 0.0000 0.5000
0.0000 0.7567 0.7434
0.0000 0.2433 0.2566
0.5000 0.7430 0.2567
0.5000 0.2570 0.7433
0.0000 0.5000 0.5000
```



[15]
A plane-wave DFT calculation with PBE was carried out for a relaxed LaPrHo3Th crystal.

Properties
energy of formation from the pure elements = 0.0308 eV per atom
total moment = 0.000 μB/atom

```
LaPrHo3Th
1.0
3.6034 0.0000 0.0000
0.0000 10.8308 -0.3051
0.0000 -3.2129 10.2785
La Pr Ho Th
2 2 6 2
Direct
0.2500 0.1283 0.2885
0.7500 0.8717 0.7115
0.2500 0.1344 0.6311
0.7500 0.8656 0.3689
0.7500 0.8675 0.0390
0.2500 0.1325 0.9610
0.2500 0.6202 0.4556
0.7500 0.3798 0.5444
0.7500 0.3832 0.2052
0.2500 0.6168 0.7948
0.2500 0.6218 0.1207
0.7500 0.3782 0.8793
```



[16]
A plane-wave DFT calculation with PBE was carried out for a relaxed La4Pr2HoTh crystal.

Properties
energy of formation from the pure elements = 0.1229 eV per atom
total moment = 0.000 μB/atom

```
La4Pr2HoTh
1.0
-3.5726 3.2838 -3.8431
-5.0406 -2.3560 2.6726
-5.0966 3.2142 7.4842
La Pr Ho Th
4 2 1 1
Direct
0.0000 0.7333 0.7669
0.0000 0.2667 0.2331
0.5000 0.7650 0.2352
0.5000 0.2350 0.7648
0.0000 0.0000 0.0000
0.5000 0.0000 0.5000
0.0000 0.5000 0.5000
0.5000 0.5000 0.0000
```



[17]
A plane-wave DFT calculation with PBE was carried out for a relaxed La3PrHo6Th2 crystal.

Properties
energy of formation from the pure elements = 0.0258 eV per atom
total moment = 0.000 μB/atom

```
La3PrHo6Th2
1.0
-3.6492 -2.1240 -4.6317
6.1785 0.5648 -0.8880
0.6894 -10.3444 5.6200
La Pr Ho Th
3 1 6 2
Direct
0.1661 0.8339 0.5000
0.8339 0.1661 0.5000
0.5000 0.5000 0.5000
0.0000 0.0000 0.0000
0.9188 0.5805 0.7561
0.7431 0.7431 0.2440
0.0812 0.4195 0.2439
0.5805 0.9188 0.7561
0.2569 0.2569 0.7560
0.4195 0.0812 0.2439
0.3335 0.6665 0.0000
0.6665 0.3335 0.0000
```



[18]
A plane-wave DFT calculation with PBE was carried out for a relaxed La2Pr4HoTh crystal.

Properties
energy of formation from the pure elements = 0.0407 eV per atom
total moment = 0.000 μB/atom

```
La2Pr4HoTh
1.0
-2.0907 4.7718 0.0443
-3.7676 -1.6801 3.1635
2.0580 0.7957 11.4101
La Pr Ho Th
2 4 1 1
Direct
0.0000 0.0000 0.0000
0.5000 0.0000 0.5000
0.0000 0.7540 0.7457
0.0000 0.2459 0.2543
0.5000 0.7470 0.2535
0.5000 0.2530 0.7465
0.5000 0.5000 0.0000
0.0000 0.5000 0.5000
```



[19]
A plane-wave DFT calculation with PBE was carried out for a relaxed LaPr2HoTh crystal.

Properties
energy of formation from the pure elements = 0.3028 eV per atom
total moment = 0.000 μB/atom

```
LaPr2HoTh
1.0
-1.5212 5.7028 -2.2698
-3.1941 -3.7313 -7.2342
-5.8128 -0.4322 2.8099
La Pr Ho Th
2 4 2 2
Direct
0.5368 0.0000 0.2500
0.4632 0.0000 0.7500
0.7130 0.6874 0.7509
0.7130 0.3126 0.7491
0.2870 0.6874 0.2509
0.2870 0.3126 0.2491
0.1910 0.5000 0.7500
0.8090 0.5000 0.2500
0.0000 0.0000 0.0000
0.0000 0.0000 0.5000
```



[20]
A plane-wave DFT calculation with PBE was carried out for a relaxed La2PrHo4Th crystal.

Properties
energy of formation from the pure elements = 0.0213 eV per atom
total moment = 0.000 μB/atom

```
La2PrHo4Th
1.0
3.6202 0.0000 0.0000
0.0000 6.2902 0.0403
0.0000 1.9975 11.6111
La Pr Ho Th
2 1 4 1
Direct
0.0000 0.0000 0.0000
0.5000 0.0000 0.5000
0.5000 0.5000 0.0000
0.0000 0.7449 0.7484
0.0000 0.2551 0.2516
0.5000 0.7437 0.2563
0.5000 0.2563 0.7437
0.0000 0.5000 0.5000
```



[21]
A plane-wave DFT calculation with PBE was carried out for a relaxed LaPr5Ho2Th crystal.

Properties
energy of formation from the pure elements = 0.1584 eV per atom
total moment = 0.000 μB/atom

```
LaPr5Ho2Th
1.0
-5.7211 0.6979 0.3661
2.9454 -4.5619 9.1762
1.4545 9.6508 4.3310
La Pr Ho Th
2 10 4 2
Direct
0.5864 0.1729 0.9465
0.4136 0.8271 0.4465
0.3844 0.7689 0.0270
0.7223 0.4447 0.8160
0.4778 0.9555 0.7408
0.2911 0.5823 0.7019
0.9847 0.9694 0.5240
0.6156 0.2311 0.5270
0.2777 0.5553 0.3160
0.5222 0.0445 0.2408
0.7089 0.4177 0.2019
0.0153 0.0306 0.0240
0.8840 0.7680 0.8176
0.1124 0.2248 0.7367
0.1160 0.2320 0.3176
0.8876 0.7752 0.2367
0.8022 0.6043 0.5135
0.1978 0.3957 0.0135
```